1.
VASP calculation (PBE-GGA) on a relaxed VPd6Pb crystal.

Calculated values
As for the electronic total energy: -5.746 eV/atom. As for the space group: P4/mmm (123). As for the calculated volume: 128.5 Å³/f.u. The calculation puts the formation energy at -0.25 eV/atom.

abc: 4.0042 4.0042 8.0147
angles: 90.00 90.00 90.00
Fractional coordinates of all 8 atoms:
V  0.0000  0.0000  0.0000
Pd  0.0000  0.5000  0.2311
Pd  0.0000  0.5000  0.7689
Pd  0.5000  0.0000  0.2311
Pd  0.5000  0.0000  0.7689
Pd  0.5000  0.5000  0.0000
Pd  0.5000  0.5000  0.5000
Pb  0.0000  0.0000  0.5000



2.
VASP calculation (PBE-GGA) on a relaxed LiHf2Tl2Te6 crystal.

Calculated values
The formation energy without anion corrections comes out at -0.6448 eV/atom. As for the electronic total energy: -4.772 eV/atom. As for the space group: C2/m (12). As for the calculated volume: 365.2 Å³/f.u.

abc: 7.1836 7.1836 8.5193
angles: 98.12 98.12 120.00
Fractional coordinates of all 11 atoms:
Li  0.0000  0.0000  0.0000
Hf  0.3317  0.6683  0.0000
Hf  0.6683  0.3317  0.0000
Tl  0.1657  0.8343  0.5000
Tl  0.8343  0.1657  0.5000
Te  0.0697  0.4106  0.2058
Te  0.2765  0.2765  0.7988
Te  0.4106  0.0697  0.2058
Te  0.5894  0.9303  0.7942
Te  0.7235  0.7235  0.2012
Te  0.9303  0.5894  0.7942



3.
VASP calculation (PBE-GGA) on a relaxed SiH4Br3 crystal.

Calculated values
As for the electronic total energy: -2.846 eV/atom. As for the space group: Imm2 (44). As for the calculated volume: 180.9 Å³/f.u.

abc: 4.3674 10.2170 8.1099
angles: 90.00 90.00 90.00
Fractional coordinates of all 16 atoms:
Si  0.0000  0.0000  0.0000
Si  0.5000  0.5000  0.5000
H  0.0000  0.1188  0.8924
H  0.0000  0.8812  0.8924
H  0.2235  0.5000  0.6064
H  0.2765  0.0000  0.1064
H  0.5000  0.3812  0.3924
H  0.5000  0.6188  0.3924
H  0.7235  0.0000  0.1064
H  0.7765  0.5000  0.6064
Br  0.0000  0.1669  0.4863
Br  0.0000  0.5000  0.9910
Br  0.0000  0.8331  0.4863
Br  0.5000  0.0000  0.4910
Br  0.5000  0.3331  0.9863
Br  0.5000  0.6669  0.9863



4.
VASP calculation (PBE-GGA) on a relaxed Mn2SiAs crystal.

Calculated values
The formation energy without anion corrections comes out at 0.0424 eV/atom. As for the electronic total energy: -7.060 eV/atom. As for the space group: Pmmm (47). As for the calculated volume: 54.4 Å³/f.u.

abc: 3.4679 3.5224 4.4499
angles: 90.00 90.00 90.00
Fractional coordinates of all 4 atoms:
Mn  0.0000  0.0000  0.0000
Mn  0.5000  0.0000  0.5000
Si  0.0000  0.5000  0.5000
As  0.5000  0.5000  0.0000



5.
VASP calculation (PBE-GGA) on a relaxed TlGeRh2 crystal.

Calculated values
As for the electronic total energy: -5.564 eV/atom. As for the space group: R-3m (166). As for the calculated volume: 69.7 Å³/f.u. The calculation puts the formation energy at -0.14 eV/atom.

abc: 3.2331 3.2331 23.0922
angles: 90.00 90.00 120.00
Fractional coordinates of all 12 atoms:
Tl  0.0000  0.0000  0.0000
Tl  0.3333  0.6667  0.6667
Tl  0.6667  0.3333  0.3333
Ge  0.0000  0.0000  0.5000
Ge  0.3333  0.6667  0.1667
Ge  0.6667  0.3333  0.8333
Rh  0.0000  0.0000  0.2378
Rh  0.0000  0.0000  0.7622
Rh  0.3333  0.6667  0.4289
Rh  0.3333  0.6667  0.9044
Rh  0.6667  0.3333  0.0956
Rh  0.6667  0.3333  0.5711



6.
VASP calculation (PBE-GGA) on a relaxed Y4Tm3Ni2 crystal.

Calculated values
As for the electronic total energy: -5.830 eV/atom. As for the space group: C2/m (12). As for the calculated volume: 242.6 Å³/f.u. The calculation puts the formation energy at -0.18 eV/atom.

abc: 8.4399 8.4399 8.9593
angles: 112.91 112.91 24.48
Fractional coordinates of all 9 atoms:
Y  0.1331  0.1331  0.3935
Y  0.2699  0.2699  0.8463
Y  0.7301  0.7301  0.1537
Y  0.8669  0.8669  0.6065
Tm  0.4306  0.4306  0.3102
Tm  0.5000  0.5000  0.0000
Tm  0.5694  0.5694  0.6898
Ni  0.1157  0.1157  0.9368
Ni  0.8843  0.8843  0.0632



7.
VASP calculation (PBE-GGA) on a relaxed InMo2Br crystal.

Calculated values
The formation energy without anion corrections comes out at 0.8863 eV/atom. As for the electronic total energy: -5.632 eV/atom. As for the space group: C2/m (12). As for the calculated volume: 77.4 Å³/f.u.

abc: 5.6156 10.1892 3.3005
angles: 90.00 124.95 90.00
Fractional coordinates of all 8 atoms:
In  0.0000  0.0000  0.0000
In  0.5000  0.5000  0.0000
Mo  0.2500  0.2500  0.5000
Mo  0.2500  0.7500  0.5000
Mo  0.7500  0.2500  0.5000
Mo  0.7500  0.7500  0.5000
Br  0.0000  0.5000  0.0000
Br  0.5000  0.0000  0.0000



8.
VASP calculation (PBE-GGA) on a relaxed ZnGePd2F crystal.

Calculated values
The formation energy without anion corrections comes out at 0.0646 eV/atom. As for the electronic total energy: -3.565 eV/atom. As for the space group: P4/mmm (123). As for the calculated volume: 86.4 Å³/f.u.

abc: 4.5321 4.5321 4.2043
angles: 90.00 90.00 90.00
Fractional coordinates of all 5 atoms:
Zn  0.0000  0.0000  0.0000
Ge  0.5000  0.5000  0.0000
Pd  0.0000  0.5000  0.5000
Pd  0.5000  0.0000  0.5000
F  0.5000  0.5000  0.5000



9.
VASP calculation (PBE-GGA) on a relaxed Dy5ErAl6 crystal.

Calculated values
As for the electronic total energy: -4.567 eV/atom. As for the space group: P2/m (10). As for the calculated volume: 278.4 Å³/f.u. The calculation puts the formation energy at -0.40 eV/atom.

abc: 5.0772 7.1943 8.0252
angles: 90.00 108.27 90.00
Fractional coordinates of all 12 atoms:
Dy  0.0000  0.0000  0.0000
Dy  0.3327  0.0000  0.6656
Dy  0.3336  0.5000  0.6673
Dy  0.6664  0.5000  0.3327
Dy  0.6673  0.0000  0.3344
Er  0.0000  0.5000  0.0000
Al  0.1661  0.2513  0.3321
Al  0.1661  0.7487  0.3321
Al  0.5000  0.2509  0.0000
Al  0.5000  0.7491  0.0000
Al  0.8339  0.2513  0.6679
Al  0.8339  0.7487  0.6679



10.
VASP calculation (PBE-GGA) on a relaxed ErPaFe2 crystal.

Calculated values
As for the electronic total energy: -7.608 eV/atom. As for the space group: R-3m (166). As for the calculated volume: 76.2 Å³/f.u. The calculation puts the formation energy at 0.14 eV/atom.

abc: 3.4518 3.4518 22.1674
angles: 90.00 90.00 120.00
Fractional coordinates of all 12 atoms:
Er  0.0000  0.0000  0.0000
Er  0.3333  0.6667  0.6667
Er  0.6667  0.3333  0.3333
Pa  0.0000  0.0000  0.5000
Pa  0.3333  0.6667  0.1667
Pa  0.6667  0.3333  0.8333
Fe  0.0000  0.0000  0.2403
Fe  0.0000  0.0000  0.7597
Fe  0.3333  0.6667  0.4263
Fe  0.3333  0.6667  0.9070
Fe  0.6667  0.3333  0.0930
Fe  0.6667  0.3333  0.5737



11.
VASP calculation (PBE-GGA) on a relaxed YHo4Er2Mg crystal.

Calculated values
As for the electronic total energy: -4.413 eV/atom. As for the space group: P4/mmm (123). As for the calculated volume: 241.2 Å³/f.u. The calculation puts the formation energy at 0.02 eV/atom.

abc: 4.9402 4.9402 9.8831
angles: 90.00 90.00 90.00
Fractional coordinates of all 8 atoms:
Y  0.0000  0.0000  0.0000
Ho  0.0000  0.5000  0.2529
Ho  0.0000  0.5000  0.7471
Ho  0.5000  0.0000  0.2529
Ho  0.5000  0.0000  0.7471
Er  0.0000  0.0000  0.5000
Er  0.5000  0.5000  0.0000
Mg  0.5000  0.5000  0.5000



12.
VASP calculation (PBE-GGA) on a relaxed TbMnCr crystal.

Calculated values
As for the electronic total energy: -7.575 eV/atom. As for the space group: R-3m (166). As for the calculated volume: 50.2 Å³/f.u. The calculation puts the formation energy at 0.23 eV/atom.

abc: 13.0050 13.0050 13.0050
angles: 23.27 23.27 23.27
Fractional coordinates of all 18 atoms:
Tb  0.0413  0.0413  0.0413
Tb  0.1803  0.1803  0.1803
Tb  0.2648  0.2648  0.2648
Tb  0.7352  0.7352  0.7352
Tb  0.8197  0.8197  0.8197
Tb  0.9587  0.9587  0.9587
Mn  0.0000  0.5000  0.5000
Mn  0.3890  0.3890  0.3890
Mn  0.5000  0.0000  0.5000
Mn  0.5000  0.5000  0.0000
Mn  0.5000  0.5000  0.5000
Mn  0.6110  0.6110  0.6110
Cr  0.2227  0.7230  0.7230
Cr  0.2770  0.2770  0.7773
Cr  0.2770  0.7773  0.2770
Cr  0.7230  0.2227  0.7230
Cr  0.7230  0.7230  0.2227
Cr  0.7773  0.2770  0.2770



13.
VASP calculation (PBE-GGA) on a relaxed CrBiP crystal.

Calculated values
As for the electronic total energy: -6.192 eV/atom. As for the space group: Amm2 (38). As for the calculated volume: 60.4 Å³/f.u. The calculation puts the formation energy at 0.11 eV/atom.

abc: 3.2406 3.2727 11.3828
angles: 90.00 90.00 90.00
Fractional coordinates of all 6 atoms:
Cr  0.0000  0.0000  0.0000
Cr  0.0000  0.5000  0.5000
Bi  0.0000  0.0000  0.2714
Bi  0.0000  0.5000  0.7714
P  0.5000  0.0000  0.5514
P  0.5000  0.5000  0.0514



14.
VASP calculation (PBE-GGA) on a relaxed Sm2ThOsN4 crystal.

Calculated values
The formation energy without anion corrections comes out at -0.9319 eV/atom. As for the electronic total energy: -8.606 eV/atom. As for the space group: Cmcm (63). As for the calculated volume: 122.2 Å³/f.u.

abc: 6.2472 6.2472 11.8499
angles: 90.00 90.00 148.09
Fractional coordinates of all 16 atoms:
Sm  0.1307  0.8693  0.5478
Sm  0.1307  0.8693  0.9522
Sm  0.8693  0.1307  0.0478
Sm  0.8693  0.1307  0.4522
Th  0.3886  0.6114  0.7500
Th  0.6114  0.3886  0.2500
Os  0.3516  0.6484  0.2500
Os  0.6484  0.3516  0.7500
N  0.0439  0.9561  0.7500
N  0.2224  0.7776  0.1362
N  0.2224  0.7776  0.3638
N  0.5000  0.5000  0.0000
N  0.5000  0.5000  0.5000
N  0.7776  0.2224  0.6362
N  0.7776  0.2224  0.8638
N  0.9561  0.0439  0.2500



15.
VASP calculation (PBE-GGA) on a relaxed Mg2PaCo9 crystal.

Calculated values
As for the electronic total energy: -6.498 eV/atom. As for the space group: R-3m (166). As for the calculated volume: 160.3 Å³/f.u. The calculation puts the formation energy at -0.11 eV/atom.

abc: 8.4380 8.4380 8.4380
angles: 33.20 33.20 33.20
Fractional coordinates of all 12 atoms:
Mg  0.1440  0.1440  0.1440
Mg  0.8560  0.8560  0.8560
Pa  0.0000  0.0000  0.0000
Co  0.0789  0.5880  0.5880
Co  0.3353  0.3353  0.3353
Co  0.4120  0.4120  0.9211
Co  0.4120  0.9211  0.4120
Co  0.5000  0.5000  0.5000
Co  0.5880  0.0789  0.5880
Co  0.5880  0.5880  0.0789
Co  0.6647  0.6647  0.6647
Co  0.9211  0.4120  0.4120



N(E_F) across the listed records, respectively: 0.80; 0.43; 0.08; 0.89; 0.45; 1.34; 1.09; 0.51; 0.36; 1.10; 1.53; 1.33; 0.92; 0.44; 1.25 states/eV per atom.